{
  "formula": "Cs2RuCl6F",
  "functional": "PBE",
  "state": "optimized geometry",
  "lattice": [[-5.356, 1.900, 4.760], [1.398, -6.083, 4.000], [1.578, 0.641, 7.292]],
  "species": ["Cl", "Cl", "Cl", "Cl", "Cl", "Cl", "F", "Cs", "Cs", "Ru"],
  "frac_coords": [[0.776, 0.776, 0.000], [0.219, 0.219, 0.561], [0.776, 0.224, 0.000], [0.224, 0.776, 0.000], [0.224, 0.224, 0.000], [0.781, 0.781, 0.439], [0.500, 0.500, 0.000], [0.250, 0.750, 0.500], [0.750, 0.250, 0.500], [0.000, 0.000, 0.000]],
  "sg": "No. 139",
  "raw_formation_energy_kj_per_mol_fu": -1088,
  "energy_ev_per_fu": -35.22,
  "crystal_system": "tetragonal",
  "magmom_total_mub_per_cell": 3.00
}